1.
# PBE-GGA KMg2Sn, relaxed
# Energy relative to the elements   -1.18 kcal/mol of atoms
# Electronic total energy   -17.0 eV per cell
data_KMg2Sn
_chemical_formula_sum 'K2 Mg4 Sn2'
_cell_length_a 4.762
_cell_length_b 4.762
_cell_length_c 11.273
_cell_angle_alpha 90.00
_cell_angle_beta 90.00
_cell_angle_gamma 90.00
_space_group_name_H-M_alt 'P 1'
_space_group_IT_number 1
loop_
_space_group_symop_operation_xyz
'x,y,z'
loop_
_atom_site_label
_atom_site_fract_x
_atom_site_fract_y
_atom_site_fract_z
_atom_site_occupancy
K1 0.500 0.000 0.240 1
K2 0.000 0.500 0.760 1
Mg1 0.500 0.000 0.923 1
Mg2 0.000 0.500 0.077 1
Mg3 0.000 0.000 0.500 1
Mg4 0.500 0.500 0.500 1
Sn1 0.500 0.000 0.657 1
Sn2 0.000 0.500 0.343 1

=====

2.
# PBE-GGA ReSi4Mo, relaxed
# Formation energy (no corrections)   -369 meV/atom
# Electronic total energy   -47.2 eV per cell
data_ReSi4Mo
_chemical_formula_sum 'Re1 Si4 Mo1'
_cell_length_a 3.204
_cell_length_b 3.204
_cell_length_c 7.857
_cell_angle_alpha 90.00
_cell_angle_beta 90.00
_cell_angle_gamma 90.00
_space_group_name_H-M_alt 'P 1'
_space_group_IT_number 1
loop_
_space_group_symop_operation_xyz
'x,y,z'
loop_
_atom_site_label
_atom_site_fract_x
_atom_site_fract_y
_atom_site_fract_z
_atom_site_occupancy
Re1 0.500 0.500 0.500 1
Si1 0.500 0.500 0.166 1
Si2 0.000 0.000 0.667 1
Si3 0.000 0.000 0.333 1
Si4 0.500 0.500 0.834 1
Mo1 0.000 0.000 0.000 1

=====

3.
# PBE-GGA Rb2BeAlCl6, relaxed
# Formation energy (no corrections)   -1372 meV/atom
# Electronic total energy   -34.2 eV per cell
data_Rb2BeAlCl6
_chemical_formula_sum 'Rb2 Be1 Al1 Cl6'
_cell_length_a 6.892
_cell_length_b 6.892
_cell_length_c 6.993
_cell_angle_alpha 60.47
_cell_angle_beta 60.47
_cell_angle_gamma 90.00
_space_group_name_H-M_alt 'P 1'
_space_group_IT_number 1
loop_
_space_group_symop_operation_xyz
'x,y,z'
loop_
_atom_site_label
_atom_site_fract_x
_atom_site_fract_y
_atom_site_fract_z
_atom_site_occupancy
Be1 0.500 0.500 0.000 1
Al1 0.000 0.000 0.000 1
Rb1 0.750 0.250 0.500 1
Rb2 0.250 0.750 0.500 1
Cl1 0.248 0.248 0.504 1
Cl2 0.752 0.752 0.496 1
Cl3 0.263 0.263 0.000 1
Cl4 0.737 0.737 0.000 1
Cl5 0.737 0.263 0.000 1
Cl6 0.263 0.737 0.000 1

=====

4.
# PBE-GGA Sr3Pu5H12, relaxed
# Electronic total energy   -478.8 eV per cell
data_Sr3Pu5H12
_chemical_formula_sum 'Sr12 Pu20 H48'
_cell_length_a 11.864
_cell_length_b 11.864
_cell_length_c 11.864
_cell_angle_alpha 109.47
_cell_angle_beta 109.47
_cell_angle_gamma 109.47
_space_group_name_H-M_alt 'P 1'
_space_group_IT_number 1
loop_
_space_group_symop_operation_xyz
'x,y,z'
loop_
_atom_site_label
_atom_site_fract_x
_atom_site_fract_y
_atom_site_fract_z
_atom_site_occupancy
Sr1 0.750 0.375 0.125 1
Sr2 0.875 0.750 0.125 1
Sr3 0.375 0.750 0.625 1
Sr4 0.250 0.125 0.375 1
Sr5 0.875 0.125 0.250 1
Sr6 0.375 0.625 0.250 1
Sr7 0.625 0.375 0.750 1
Sr8 0.125 0.875 0.750 1
Sr9 0.750 0.875 0.625 1
Sr10 0.625 0.250 0.375 1
Sr11 0.125 0.250 0.875 1
Sr12 0.250 0.625 0.875 1
Pu1 0.125 0.375 0.250 1
Pu2 0.000 0.500 0.000 1
Pu3 0.000 0.000 0.000 1
Pu4 0.375 0.250 0.125 1
Pu5 0.500 0.000 0.500 1
Pu6 0.500 0.500 0.000 1
Pu7 0.125 0.750 0.375 1
Pu8 0.750 0.125 0.875 1
Pu9 0.750 0.625 0.375 1
Pu10 0.375 0.125 0.750 1
Pu11 0.625 0.875 0.250 1
Pu12 0.500 0.500 0.500 1
Pu13 0.500 0.000 0.000 1
Pu14 0.000 0.000 0.500 1
Pu15 0.250 0.375 0.625 1
Pu16 0.250 0.875 0.125 1
Pu17 0.000 0.500 0.500 1
Pu18 0.875 0.250 0.625 1
Pu19 0.625 0.750 0.875 1
Pu20 0.875 0.625 0.750 1
H1 0.716 0.142 0.054 1
H2 0.338 0.554 0.411 1
H3 0.946 0.358 0.284 1
H4 0.554 0.216 0.142 1
H5 0.573 0.716 0.662 1
H6 0.946 0.589 0.162 1
H7 0.338 0.784 0.427 1
H8 0.089 0.927 0.142 1
H9 0.589 0.946 0.662 1
H10 0.716 0.573 0.162 1
H11 0.784 0.446 0.358 1
H12 0.838 0.911 0.054 1
H13 0.142 0.716 0.554 1
H14 0.358 0.411 0.073 1
H15 0.073 0.911 0.358 1
H16 0.427 0.142 0.589 1
H17 0.073 0.162 0.216 1
H18 0.446 0.662 0.089 1
H19 0.838 0.927 0.284 1
H20 0.142 0.427 0.089 1
H21 0.358 0.946 0.784 1
H22 0.589 0.642 0.427 1
H23 0.911 0.838 0.554 1
H24 0.784 0.338 0.927 1
H25 0.411 0.358 0.573 1
H26 0.089 0.162 0.446 1
H27 0.216 0.662 0.073 1
H28 0.162 0.073 0.716 1
H29 0.642 0.054 0.216 1
H30 0.858 0.573 0.911 1
H31 0.554 0.338 0.911 1
H32 0.573 0.858 0.411 1
H33 0.927 0.838 0.784 1
H34 0.927 0.089 0.642 1
H35 0.858 0.284 0.446 1
H36 0.162 0.089 0.946 1
H37 0.642 0.589 0.927 1
H38 0.411 0.054 0.338 1
H39 0.284 0.427 0.838 1
H40 0.216 0.554 0.642 1
H41 0.911 0.073 0.858 1
H42 0.662 0.216 0.573 1
H43 0.446 0.784 0.858 1
H44 0.054 0.411 0.838 1
H45 0.427 0.284 0.338 1
H46 0.054 0.642 0.716 1
H47 0.662 0.446 0.589 1
H48 0.284 0.858 0.946 1

=====

5.
# PBE-GGA SrCr2Os, relaxed
# Energy relative to the elements   13.64 kcal/mol of atoms
# Electronic total energy   -29.8 eV per cell
data_SrCr2Os
_chemical_formula_sum 'Sr1 Cr2 Os1'
_cell_length_a 3.047
_cell_length_b 3.047
_cell_length_c 7.871
_cell_angle_alpha 90.00
_cell_angle_beta 90.00
_cell_angle_gamma 90.00
_space_group_name_H-M_alt 'P 1'
_space_group_IT_number 1
loop_
_space_group_symop_operation_xyz
'x,y,z'
loop_
_atom_site_label
_atom_site_fract_x
_atom_site_fract_y
_atom_site_fract_z
_atom_site_occupancy
Cr1 0.000 0.000 0.077 1
Cr2 0.500 0.500 0.260 1
Os1 0.000 0.000 0.431 1
Sr1 0.500 0.500 0.732 1

=====

6.
# PBE-GGA Pm3Co3Hg, relaxed
# Energy relative to the elements   -3.33 kcal/mol of atoms
# Electronic total energy   -73.8 eV per cell
data_Pm3Co3Hg
_chemical_formula_sum 'Pm6 Co6 Hg2'
_cell_length_a 3.866
_cell_length_b 9.817
_cell_length_c 9.817
_cell_angle_alpha 120.00
_cell_angle_beta 90.00
_cell_angle_gamma 90.00
_space_group_name_H-M_alt 'P 1'
_space_group_IT_number 1
loop_
_space_group_symop_operation_xyz
'x,y,z'
loop_
_atom_site_label
_atom_site_fract_x
_atom_site_fract_y
_atom_site_fract_z
_atom_site_occupancy
Pm1 0.750 0.383 0.305 1
Pm2 0.750 0.922 0.617 1
Pm3 0.750 0.695 0.078 1
Pm4 0.250 0.617 0.695 1
Pm5 0.250 0.078 0.383 1
Pm6 0.250 0.305 0.922 1
Co1 0.750 0.028 0.157 1
Co2 0.750 0.130 0.972 1
Co3 0.750 0.843 0.870 1
Co4 0.250 0.972 0.843 1
Co5 0.250 0.870 0.028 1
Co6 0.250 0.157 0.130 1
Hg1 0.750 0.333 0.667 1
Hg2 0.250 0.667 0.333 1

=====

7.
# PBE-GGA Ga3OsF, relaxed
# Formation energy (no corrections)   -362 meV/atom
# Electronic total energy   -24.0 eV per cell
data_Ga3OsF
_chemical_formula_sum 'Ga3 Os1 F1'
_cell_length_a 4.785
_cell_length_b 4.785
_cell_length_c 4.785
_cell_angle_alpha 90.00
_cell_angle_beta 90.00
_cell_angle_gamma 90.00
_space_group_name_H-M_alt 'P 1'
_space_group_IT_number 1
loop_
_space_group_symop_operation_xyz
'x,y,z'
loop_
_atom_site_label
_atom_site_fract_x
_atom_site_fract_y
_atom_site_fract_z
_atom_site_occupancy
Os1 0.000 0.000 0.000 1
Ga1 0.000 0.500 0.000 1
Ga2 0.000 0.000 0.500 1
Ga3 0.500 0.000 0.000 1
F1 0.500 0.500 0.500 1

=====

8.
# PBE-GGA MnInSnBr5, relaxed
# Formation energy (no corrections)   -732 meV/atom
# Electronic total energy   -60.3 eV per cell
data_MnInSnBr5
_chemical_formula_sum 'Mn2 In2 Sn2 Br10'
_cell_length_a 8.009
_cell_length_b 8.009
_cell_length_c 10.670
_cell_angle_alpha 104.34
_cell_angle_beta 104.34
_cell_angle_gamma 105.82
_space_group_name_H-M_alt 'P 1'
_space_group_IT_number 1
loop_
_space_group_symop_operation_xyz
'x,y,z'
loop_
_atom_site_label
_atom_site_fract_x
_atom_site_fract_y
_atom_site_fract_z
_atom_site_occupancy
Mn1 0.683 0.317 0.250 1
Mn2 0.317 0.683 0.750 1
In1 0.345 0.655 0.250 1
In2 0.655 0.345 0.750 1
Sn1 0.000 0.000 0.500 1
Sn2 0.000 0.000 0.000 1
Br1 0.094 0.906 0.250 1
Br2 0.906 0.094 0.750 1
Br3 0.917 0.337 0.131 1
Br4 0.083 0.663 0.869 1
Br5 0.663 0.083 0.369 1
Br6 0.337 0.917 0.631 1
Br7 0.739 0.610 0.436 1
Br8 0.261 0.390 0.564 1
Br9 0.390 0.261 0.064 1
Br10 0.610 0.739 0.936 1

=====

9.
# PBE-GGA RePO3, relaxed
# Formation energy (no corrections)   244 meV/atom
# Electronic total energy   -31.5 eV per cell
data_RePO3
_chemical_formula_sum 'Re1 P1 O3'
_cell_length_a 3.736
_cell_length_b 3.736
_cell_length_c 3.736
_cell_angle_alpha 90.00
_cell_angle_beta 90.00
_cell_angle_gamma 90.00
_space_group_name_H-M_alt 'P 1'
_space_group_IT_number 1
loop_
_space_group_symop_operation_xyz
'x,y,z'
loop_
_atom_site_label
_atom_site_fract_x
_atom_site_fract_y
_atom_site_fract_z
_atom_site_occupancy
Re1 0.500 0.500 0.500 1
O1 0.000 0.500 0.000 1
O2 0.000 0.000 0.500 1
O3 0.500 0.000 0.000 1
P1 0.000 0.000 0.000 1

=====

10.
# PBE-GGA Re2Ir, relaxed
# Energy relative to the elements   -1.43 kcal/mol of atoms
# Electronic total energy   -33.9 eV per cell
data_Re2Ir
_chemical_formula_sum 'Re2 Ir1'
_cell_length_a 4.790
_cell_length_b 4.790
_cell_length_c 4.790
_cell_angle_alpha 146.99
_cell_angle_beta 131.57
_cell_angle_gamma 59.86
_space_group_name_H-M_alt 'P 1'
_space_group_IT_number 1
loop_
_space_group_symop_operation_xyz
'x,y,z'
loop_
_atom_site_label
_atom_site_fract_x
_atom_site_fract_y
_atom_site_fract_z
_atom_site_occupancy
Ir1 0.000 0.000 0.000 1
Re1 0.669 0.669 0.000 1
Re2 0.331 0.331 0.000 1

=====

11.
# PBE-GGA BaMo2As, relaxed
# Energy relative to the elements   17.04 kcal/mol of atoms
# Electronic total energy   -25.3 eV per cell
data_BaMo2As
_chemical_formula_sum 'Ba1 Mo2 As1'
_cell_length_a 6.089
_cell_length_b 6.089
_cell_length_c 6.089
_cell_angle_alpha 151.40
_cell_angle_beta 126.50
_cell_angle_gamma 61.79
_space_group_name_H-M_alt 'P 1'
_space_group_IT_number 1
loop_
_space_group_symop_operation_xyz
'x,y,z'
loop_
_atom_site_label
_atom_site_fract_x
_atom_site_fract_y
_atom_site_fract_z
_atom_site_occupancy
As1 0.750 0.250 0.500 1
Mo1 0.951 0.951 0.000 1
Mo2 0.549 0.549 0.000 1
Ba1 0.250 0.750 0.500 1

=====

12.
# PBE-GGA SrLaSc2Fe, relaxed
# Energy relative to the elements   1.93 kcal/mol of atoms
# Electronic total energy   -27.3 eV per cell
data_SrLaSc2Fe
_chemical_formula_sum 'Sr1 La1 Sc2 Fe1'
_cell_length_a 5.215
_cell_length_b 5.215
_cell_length_c 5.213
_cell_angle_alpha 90.00
_cell_angle_beta 90.00
_cell_angle_gamma 90.00
_space_group_name_H-M_alt 'P 1'
_space_group_IT_number 1
loop_
_space_group_symop_operation_xyz
'x,y,z'
loop_
_atom_site_label
_atom_site_fract_x
_atom_site_fract_y
_atom_site_fract_z
_atom_site_occupancy
Sc1 0.000 0.500 0.000 1
Sc2 0.500 0.000 0.000 1
Sr1 0.500 0.500 0.500 1
Fe1 0.000 0.000 0.000 1
La1 0.000 0.000 0.500 1